[1]
DFT (PBE-GGA) results for ScCoSn after structural relaxation.

Results
- Total DFT energy (no corrections): -18.886 eV/f.u.
- Space-group type: Pnma (62)

Unit cell a=6.8140 b=4.4428 c=7.2196 alpha=90.00 beta=90.00 gamma=90.00
Fractional coordinates of all 12 atoms:
Co: 0.3474 0.7500 0.5505
Sc: 0.5169 0.7500 0.2135
Sc: 0.4831 0.2500 0.7865
Sc: 0.0169 0.7500 0.2865
Sc: 0.9831 0.2500 0.7135
Sn: 0.7799 0.2500 0.1114
Co: 0.1526 0.2500 0.0505
Co: 0.8474 0.7500 0.9495
Sn: 0.7201 0.7500 0.6114
Sn: 0.2799 0.2500 0.3886
Co: 0.6526 0.2500 0.4495
Sn: 0.2201 0.7500 0.8886

[2]
DFT (PBE-GGA) results for ScCo2Sn after structural relaxation.

Results
- Total DFT energy (no corrections): -25.748 eV/f.u.
- Space-group type: P4/mmm (123)

Unit cell a=4.3108 b=4.3108 c=3.2275 alpha=90.00 beta=90.00 gamma=90.00
Fractional coordinates of all 4 atoms:
Sn: 0.5000 0.5000 0.0000
Sc: 0.0000 0.0000 0.0000
Co: 0.5000 0.0000 0.5000
Co: 0.0000 0.5000 0.5000

[3]
DFT (PBE-GGA) results for ScCo2Sn after structural relaxation.

Results
- Total DFT energy (no corrections): -25.747 eV/f.u.
- Space-group type: P4/mmm (123)

Unit cell a=6.0961 b=6.0967 c=6.4524 alpha=90.00 beta=90.00 gamma=90.00
Fractional coordinates of all 16 atoms:
Co: 0.0000 0.0000 0.2501
Sc: 0.7500 0.7500 0.0000
Sc: 0.7500 0.7500 0.5000
Co: 0.5000 0.0000 0.2499
Co: 0.0000 0.0000 0.7499
Co: 0.5000 0.5000 0.7501
Co: 0.0000 0.5000 0.7499
Co: 0.5000 0.5000 0.2499
Sn: 0.7499 0.2500 0.5000
Co: 0.0000 0.5000 0.2501
Co: 0.5000 0.0000 0.7501
Sn: 0.2501 0.7500 0.5000
Sn: 0.7501 0.2500 0.0000
Sn: 0.2499 0.7500 0.0000
Sc: 0.2500 0.2500 0.0000
Sc: 0.2500 0.2500 0.5000

[4]
DFT (PBE-GGA) results for ScCo2Sn after structural relaxation.

Results
- Total DFT energy (no corrections): -25.429 eV/f.u.
- Space-group type: P4/mmm (123)

Unit cell a=3.1757 b=3.1757 c=6.0588 alpha=90.00 beta=90.00 gamma=90.00
Fractional coordinates of all 4 atoms:
Sc: 0.0000 0.0000 0.0000
Sn: 0.0000 0.0000 0.5000
Co: 0.5000 0.5000 0.7438
Co: 0.5000 0.5000 0.2562

[5]
DFT (PBE-GGA) results for ScCoSn after structural relaxation.

Results
- Total DFT energy (no corrections): -16.483 eV/f.u.
- Space-group type: F-43m (216)

Unit cell a=4.5403 b=4.5403 c=4.5403 alpha=60.00 beta=60.00 gamma=60.00
Fractional coordinates of all 3 atoms:
Sc: 0.0000 0.0000 0.0000
Co: 0.2500 0.2500 0.2500
Sn: 0.7500 0.7500 0.7500

[6]
DFT (PBE-GGA) results for ScCoSn after structural relaxation.

Results
- Total DFT energy (no corrections): -18.594 eV/f.u.
- Space-group type: F-43m (216)

Unit cell a=4.3529 b=4.3529 c=4.3529 alpha=60.00 beta=60.00 gamma=60.00
Fractional coordinates of all 3 atoms:
Sc: 0.2500 0.2500 0.2500
Sn: 0.7500 0.7500 0.7500
Co: 0.0000 0.0000 0.0000

[7]
DFT (PBE-GGA) results for ScCo2Sn after structural relaxation.

Results
- Total DFT energy (no corrections): -25.875 eV/f.u.
- Space-group type: P6_3/mmc (194)

Unit cell a=4.3713 b=4.3713 c=7.5346 alpha=90.00 beta=90.00 gamma=120.00
Fractional coordinates of all 8 atoms:
Sc: 0.0000 0.0000 0.0000
Co: 0.3333 0.6667 0.5996
Sn: 0.6667 0.3333 0.7500
Co: 0.6667 0.3333 0.4004
Co: 0.6667 0.3333 0.0996
Co: 0.3333 0.6667 0.9004
Sn: 0.3333 0.6667 0.2500
Sc: 0.0000 0.0000 0.5000

[8]
DFT (PBE-GGA) results for ScCo2Sn after structural relaxation.

Results
- Total DFT energy (no corrections): -25.690 eV/f.u.
- Space-group type: P6_3/mmc (194)

Unit cell a=4.2964 b=4.2964 c=7.9745 alpha=90.00 beta=90.00 gamma=120.00
Fractional coordinates of all 8 atoms:
Co: 0.3333 0.6667 0.6035
Co: 0.6667 0.3333 0.3965
Sc: 0.6667 0.3333 0.7500
Sn: 0.0000 0.0000 0.0000
Co: 0.3333 0.6667 0.8965
Co: 0.6667 0.3333 0.1035
Sc: 0.3333 0.6667 0.2500
Sn: 0.0000 0.0000 0.5000

[9]
DFT (PBE-GGA) results for Sc2CoSn2 after structural relaxation.

Results
- Total DFT energy (no corrections): -26.253 eV/f.u.
- Space-group type: I4/mmm (139)

Unit cell a=8.2586 b=8.2586 c=8.2586 alpha=152.81 beta=152.81 gamma=38.83
Fractional coordinates of all 5 atoms:
Sc: 0.5925 0.5925 0.0000
Sn: 0.2500 0.7500 0.5000
Co: 0.0000 0.0000 0.0000
Sn: 0.7500 0.2500 0.5000
Sc: 0.4075 0.4075 0.0000

[10]
DFT (PBE-GGA) results for ScCo2Sn after structural relaxation.

Results
- Total DFT energy (no corrections): -24.616 eV/f.u.
- Space-group type: F-43m (216)

Unit cell a=4.4632 b=4.4632 c=4.4632 alpha=60.00 beta=60.00 gamma=60.00
Fractional coordinates of all 4 atoms:
Co: 0.7500 0.7500 0.7500
Co: 0.5000 0.5000 0.5000
Sc: 0.0000 0.0000 0.0000
Sn: 0.2500 0.2500 0.2500

[11]
DFT (PBE-GGA) results for ScCo2Sn after structural relaxation.

Results
- Total DFT energy (no corrections): -24.616 eV/f.u.
- Space-group type: F-43m (216)

Unit cell a=4.4633 b=4.4633 c=4.4633 alpha=60.00 beta=60.00 gamma=60.00
Fractional coordinates of all 4 atoms:
Co: 0.7500 0.7500 0.7500
Sc: 0.2500 0.2500 0.2500
Co: 0.5000 0.5000 0.5000
Sn: 0.0000 0.0000 0.0000

[12]
DFT (PBE-GGA) results for ScZnCoSn after structural relaxation.

Results
- Total DFT energy (no corrections): -19.692 eV/f.u.
- Excess energy over the best structure of this formula in the dataset: 0 meV per atom
- Space-group type: F-43m (216)

Unit cell a=4.5081 b=4.5081 c=4.5081 alpha=60.00 beta=60.00 gamma=60.00
Fractional coordinates of all 4 atoms:
Sn: 0.2500 0.2500 0.2500
Zn: 0.5000 0.5000 0.5000
Sc: 0.7500 0.7500 0.7500
Co: 0.0000 0.0000 0.0000